# LaCe2Pt3

An optimized crystal structure of LaCe2Pt3 (PBE, Alexandria).

Cell lengths 7.2363, 7.2363, 13.1990 Å; angles 100.53, 100.53, 109.47 degrees
Sites, in units of the cell vectors:
La1 0.9168 0.9168 0.8336
La2 0.3332 0.8332 0.6664
La3 0.1668 0.6668 0.3336
La4 0.0832 0.0832 0.1664
Ce1 0.0007 0.5007 0.0015
Ce2 0.4161 0.4161 0.8323
Ce3 0.8339 0.3339 0.6677
Ce4 0.2493 0.2493 0.4985
Ce5 0.7507 0.7507 0.5015
Ce6 0.6661 0.1661 0.3323
Ce7 0.5839 0.5839 0.1677
Ce8 0.4993 0.9993 0.9985
Pt1 0.1682 0.6588 0.8369
Pt2 0.6687 0.1781 0.8369
Pt3 0.0818 0.0912 0.6631
Pt4 0.5813 0.5719 0.6631
Pt5 0.9904 0.4904 0.5000
Pt6 0.5096 0.0096 0.5000
Pt7 0.4281 0.4187 0.3369
Pt8 0.9088 0.9182 0.3369
Pt9 0.8219 0.3313 0.1631
Pt10 0.3412 0.8318 0.1631
Pt11 0.2596 0.2596 0.0000
Pt12 0.7404 0.7404 0.0000

Computed properties:
Formation enthalpy at 0 K in eV per atom: -1.09
Total magnetization in μB/f.u.: 0.921
Final energy in eV/atom: -6.91

=====

# La3CePt8

An optimized crystal structure of La3CePt8 (PBE, Alexandria).

Cell lengths 5.5429, 5.5429, 9.6045 Å; angles 73.23, 73.23, 60.00 degrees
Sites, in units of the cell vectors:
La1 0.3752 0.3752 0.8745
La2 0.9994 0.9994 0.0019
La3 0.5005 0.5005 0.4984
Ce1 0.8747 0.8747 0.3758
Pt1 0.9369 0.4371 0.1890
Pt2 0.4388 0.9376 0.6860
Pt3 0.4371 0.4371 0.1890
Pt4 0.9376 0.9376 0.6860
Pt5 0.1876 0.1876 0.4371
Pt6 0.6875 0.6875 0.9375
Pt7 0.4371 0.9369 0.1890
Pt8 0.9376 0.4388 0.6860

Computed properties:
Formation enthalpy at 0 K in eV per atom: -1.07
Total magnetization in μB/f.u.: 0.754
Final energy in eV/atom: -6.82

=====

# LaCe2Pt

An optimized crystal structure of LaCe2Pt (PBE, Alexandria).

Cell lengths 3.7588, 6.1069, 10.1603 Å; angles 90.00, 90.00, 107.87 degrees
Sites, in units of the cell vectors:
La1 0.9205 0.8416 0.2500
La2 0.0795 0.1584 0.7500
Ce1 0.3621 0.7237 0.5489
Ce2 0.6379 0.2763 0.4511
Ce3 0.3621 0.7237 0.9511
Ce4 0.6379 0.2763 0.0489
Pt1 0.7916 0.5826 0.7500
Pt2 0.2084 0.4174 0.2500

Computed properties:
Formation enthalpy at 0 K in eV per atom: -0.54
ΔE to the lowest computed polymorph in meV per atom: 0
Total magnetization in μB/f.u.: 0.916
Final energy in eV/atom: -6.25

=====

# LaCePt4

An optimized crystal structure of LaCePt4 (PBE, Alexandria).

Cell lengths 5.5262, 5.5262, 5.5262 Å; angles 60.00, 60.00, 60.00 degrees
Sites, in units of the cell vectors:
Ce1 0.0000 0.0000 0.0000
Pt1 0.6252 0.6252 0.1243
Pt2 0.6252 0.1243 0.6252
Pt3 0.6252 0.6252 0.6252
Pt4 0.1243 0.6252 0.6252
La1 0.2500 0.2500 0.2500

Computed properties:
Formation enthalpy at 0 K in eV per atom: -1.05
Total magnetization in μB/f.u.: 0.763
Final energy in eV/atom: -6.88

=====

# LaCePt

An optimized crystal structure of LaCePt (PBE, Alexandria).

Cell lengths 7.5357, 9.0705, 9.0705 Å; angles 62.37, 65.46, 65.46 degrees
Sites, in units of the cell vectors:
La1 0.1923 0.0337 0.5337
La2 0.7597 0.9663 0.4663
La3 0.3403 0.7546 0.2546
La4 0.3494 0.2454 0.7454
La5 0.7590 0.4455 0.9455
La6 0.1499 0.5545 0.0545
Ce1 0.9964 0.0000 0.0000
Ce2 0.9964 0.5000 0.5000
Ce3 0.7607 0.3922 0.3443
Ce4 0.4971 0.6078 0.6557
Ce5 0.4971 0.1557 0.1078
Ce6 0.7607 0.8443 0.8922
Pt1 0.7810 0.2135 0.7135
Pt2 0.7081 0.7865 0.2865
Pt3 0.0900 0.1560 0.1695
Pt4 0.4156 0.8440 0.8305
Pt5 0.4156 0.3305 0.3440
Pt6 0.0900 0.6695 0.6560

Computed properties:
Formation enthalpy at 0 K in eV per atom: -0.75
ΔE to the lowest computed polymorph in meV per atom: 4
Total magnetization in μB/f.u.: 0.673
Final energy in eV/atom: -6.38

=====

# La3CePt4

An optimized crystal structure of La3CePt4 (PBE, Alexandria).

Cell lengths 7.3239, 7.3295, 8.4399 Å; angles 90.00, 90.00, 109.46 degrees
Sites, in units of the cell vectors:
Pt1 0.9937 0.2459 0.6298
Pt2 0.5013 0.2396 0.8810
Pt3 0.4937 0.2459 0.3702
Pt4 0.0013 0.2396 0.1190
Pt5 0.9987 0.7604 0.8810
Pt6 0.5063 0.7541 0.6298
Pt7 0.4987 0.7604 0.1190
Pt8 0.0063 0.7541 0.3702
Ce1 0.7500 0.0000 0.8754
Ce2 0.2500 0.0000 0.1246
La1 0.7500 0.0000 0.3734
La2 0.2500 0.0000 0.6266
La3 0.7500 0.5000 0.6264
La4 0.7500 0.5000 0.1251
La5 0.2500 0.5000 0.3736
La6 0.2500 0.5000 0.8749

Computed properties:
Formation enthalpy at 0 K in eV per atom: -1.14
Total magnetization in μB/f.u.: 0.382
Final energy in eV/atom: -6.75

=====

# LaCe3Pt4

An optimized crystal structure of LaCe3Pt4 (PBE, Alexandria).

Cell lengths 3.8257, 6.8092, 8.7387 Å; angles 112.93, 102.64, 90.00 degrees
Sites, in units of the cell vectors:
La1 0.5000 0.0000 0.0000
Ce1 0.0000 0.5000 0.0000
Ce2 0.2047 0.2047 0.4095
Ce3 0.7953 0.7953 0.5905
Pt1 0.3690 0.5753 0.7380
Pt2 0.6310 0.4247 0.2620
Pt3 0.6309 0.8371 0.2618
Pt4 0.3691 0.1629 0.7382

Computed properties:
Formation enthalpy at 0 K in eV per atom: -0.90
ΔE to the lowest computed polymorph in meV per atom: 180
Total magnetization in μB/f.u.: 2.211
Final energy in eV/atom: -6.76

=====

# La2Ce2Pt3

An optimized crystal structure of La2Ce2Pt3 (PBE, Alexandria).

Cell lengths 7.8159, 7.8159, 7.8159 Å; angles 109.47, 109.47, 109.47 degrees
Sites, in units of the cell vectors:
La1 0.5000 0.3785 0.5000
La2 0.0000 0.0000 0.3785
La3 0.6215 0.1215 0.1215
La4 0.8785 0.5000 0.0000
Ce1 0.0000 0.0000 0.8817
Ce2 0.5000 0.8817 0.5000
Ce3 0.1183 0.6183 0.6183
Ce4 0.3817 0.5000 0.0000
Pt1 0.7500 0.6282 0.3782
Pt2 0.2500 0.8718 0.1218
Pt3 0.6218 0.7500 0.8718
Pt4 0.8782 0.2500 0.6282
Pt5 0.3718 0.1218 0.7500
Pt6 0.1282 0.3782 0.2500

Computed properties:
Formation enthalpy at 0 K in eV per atom: -0.97
Total magnetization in μB/f.u.: 2.017
Final energy in eV/atom: -6.66

=====

# LaCe2Pt

An optimized crystal structure of LaCe2Pt (PBE, Alexandria).

Cell lengths 3.7174, 3.7174, 7.8193 Å; angles 90.00, 90.00, 90.00 degrees
Sites, in units of the cell vectors:
Ce1 0.0000 0.0000 0.8045
Ce2 0.0000 0.0000 0.1955
Pt1 0.5000 0.5000 0.0000
La1 0.5000 0.5000 0.5000

Computed properties:
Formation enthalpy at 0 K in eV per atom: -0.46
ΔE to the lowest computed polymorph in meV per atom: 85
Total magnetization in μB/f.u.: 0.697
Final energy in eV/atom: -6.17

=====

# LaCePt

An optimized crystal structure of LaCePt (PBE, Alexandria).

Cell lengths 3.7486, 3.7486, 5.9959 Å; angles 108.22, 108.22, 90.00 degrees
Sites, in units of the cell vectors:
Ce1 0.3114 0.3114 0.6228
Pt1 0.6799 0.6799 0.3597
La1 0.0088 0.0088 0.0175

Computed properties:
Formation enthalpy at 0 K in eV per atom: -0.68
ΔE to the lowest computed polymorph in meV per atom: 74
Total magnetization in μB/f.u.: 0.001
Final energy in eV/atom: -6.31

=====

# LaCe2Pt

An optimized crystal structure of LaCe2Pt (PBE, Alexandria).

Cell lengths 3.5690, 6.3330, 6.3330 Å; angles 115.85, 106.26, 106.26 degrees
Sites, in units of the cell vectors:
La1 0.5110 0.7639 0.7639
Ce1 0.9528 0.4071 0.9963
Ce2 0.9528 0.9963 0.4071
Pt1 0.5835 0.3328 0.3328

Computed properties:
Formation enthalpy at 0 K in eV per atom: -0.46
ΔE to the lowest computed polymorph in meV per atom: 80
Total magnetization in μB/f.u.: 1.455
Final energy in eV/atom: -6.17

=====

# LaCe2Pt

An optimized crystal structure of LaCe2Pt (PBE, Alexandria).

Cell lengths 3.9238, 3.9238, 9.6272 Å; angles 78.24, 78.24, 60.00 degrees
Sites, in units of the cell vectors:
La1 0.5001 0.5001 0.4996
Ce1 0.0628 0.0628 0.8117
Ce2 0.2705 0.2705 0.1884
Pt1 0.6666 0.6666 0.0003

Computed properties:
Formation enthalpy at 0 K in eV per atom: -0.40
ΔE to the lowest computed polymorph in meV per atom: 145
Total magnetization in μB/f.u.: 0.076
Final energy in eV/atom: -6.11

=====

Question: Which value of final energy does entry 2 give?
Answer: -6.82 eV/atom

=====

Question: Look up the formation enthalpy at 0 K of the seventh one.
Answer: -0.90 eV per atom

=====

Repeat the first record exactly.
# LaCe2Pt3

An optimized crystal structure of LaCe2Pt3 (PBE, Alexandria).

Cell lengths 7.2363, 7.2363, 13.1990 Å; angles 100.53, 100.53, 109.47 degrees
Sites, in units of the cell vectors:
La1 0.9168 0.9168 0.8336
La2 0.3332 0.8332 0.6664
La3 0.1668 0.6668 0.3336
La4 0.0832 0.0832 0.1664
Ce1 0.0007 0.5007 0.0015
Ce2 0.4161 0.4161 0.8323
Ce3 0.8339 0.3339 0.6677
Ce4 0.2493 0.2493 0.4985
Ce5 0.7507 0.7507 0.5015
Ce6 0.6661 0.1661 0.3323
Ce7 0.5839 0.5839 0.1677
Ce8 0.4993 0.9993 0.9985
Pt1 0.1682 0.6588 0.8369
Pt2 0.6687 0.1781 0.8369
Pt3 0.0818 0.0912 0.6631
Pt4 0.5813 0.5719 0.6631
Pt5 0.9904 0.4904 0.5000
Pt6 0.5096 0.0096 0.5000
Pt7 0.4281 0.4187 0.3369
Pt8 0.9088 0.9182 0.3369
Pt9 0.8219 0.3313 0.1631
Pt10 0.3412 0.8318 0.1631
Pt11 0.2596 0.2596 0.0000
Pt12 0.7404 0.7404 0.0000

Computed properties:
Formation enthalpy at 0 K in eV per atom: -1.09
Total magnetization in μB/f.u.: 0.921
Final energy in eV/atom: -6.91